# NaSi2Ni2 PBE-GGA optimized geometry
# Energy relative to the lowest polymorph listed for this composition, eV per atom: 0.0428
data_NaSi2Ni2
_chemical_formula_sum 'Na2 Si4 Ni4'
_space_group_name_H-M_alt 'P 4/m b m'
_space_group_IT_number 127
_space_group_name_Hall '-P 4 2ab'
_cell_length_a 7.207
_cell_length_b 7.207
_cell_length_c 2.510
_cell_angle_alpha 90.00
_cell_angle_beta 90.00
_cell_angle_gamma 90.00
loop_
_atom_site_label
_atom_site_fract_x
_atom_site_fract_y
_atom_site_fract_z
Na1 0.000 0.000 0.000
Si1 0.131 0.369 0.000
Ni1 0.161 0.661 0.500

---

Material: Na2Si2Ni
Method: DFT, PBE-GGA
State: optimized geometry

The structure in CIF format:
```
data_Na2Si2Ni
_chemical_formula_sum 'Na4 Si4 Ni2'
_space_group_name_H-M_alt 'P 4/m b m'
_space_group_IT_number 127
_space_group_name_Hall '-P 4 2ab'
_cell_length_a 6.034
_cell_length_b 6.034
_cell_length_c 4.982
_cell_angle_alpha 90.00
_cell_angle_beta 90.00
_cell_angle_gamma 90.00
loop_
_atom_site_label
_atom_site_fract_x
_atom_site_fract_y
_atom_site_fract_z
Na1 0.179 0.321 0.000
Si1 0.141 0.641 0.500
Ni1 0.000 0.000 0.500
```

---

Material: NaSiNi2
Method: DFT, PBE-GGA
State: optimized geometry

The structure in CIF format:
```
data_NaSiNi2
_chemical_formula_sum 'Na4 Si4 Ni8'
_space_group_name_H-M_alt 'I -4 2 d'
_space_group_IT_number 122
_space_group_name_Hall 'I -4 2bw'
_cell_length_a 6.756
_cell_length_b 6.756
_cell_length_c 5.524
_cell_angle_alpha 90.00
_cell_angle_beta 90.00
_cell_angle_gamma 90.00
loop_
_atom_site_label
_atom_site_fract_x
_atom_site_fract_y
_atom_site_fract_z
Na1 0.000 0.000 0.000
Si1 0.000 0.000 0.500
Ni1 0.182 0.750 0.625
```

---

Material: NaSr2SiNi
Method: DFT, PBE-GGA
State: optimized geometry

The structure in CIF format:
```
data_NaSr2SiNi
_chemical_formula_sum 'Na1 Sr2 Si1 Ni1'
_space_group_name_H-M_alt 'P 4/m m m'
_space_group_IT_number 123
_space_group_name_Hall '-P 4 2'
_cell_length_a 5.883
_cell_length_b 5.883
_cell_length_c 4.404
_cell_angle_alpha 90.00
_cell_angle_beta 90.00
_cell_angle_gamma 90.00
loop_
_atom_site_label
_atom_site_fract_x
_atom_site_fract_y
_atom_site_fract_z
Na1 0.000 0.000 0.000
Sr1 0.000 0.500 0.500
Si1 0.500 0.500 0.000
Ni1 0.500 0.500 0.500
```

---

Material: NaSiNiTe2
Method: DFT, PBE-GGA
State: optimized geometry

The structure in CIF format:
```
data_NaSiNiTe2
_chemical_formula_sum 'Na1 Si1 Ni1 Te2'
_space_group_name_H-M_alt 'P 4/m m m'
_space_group_IT_number 123
_space_group_name_Hall '-P 4 2'
_cell_length_a 5.463
_cell_length_b 5.463
_cell_length_c 4.361
_cell_angle_alpha 90.00
_cell_angle_beta 90.00
_cell_angle_gamma 90.00
loop_
_atom_site_label
_atom_site_fract_x
_atom_site_fract_y
_atom_site_fract_z
Na1 0.000 0.000 0.000
Si1 0.500 0.500 0.500
Ni1 0.500 0.500 0.000
Te1 0.000 0.500 0.500
```

---

Material: Na2SiNiW
Method: DFT, PBE-GGA
State: optimized geometry

The structure in CIF format:
```
data_Na2SiNiW
_chemical_formula_sum 'Na2 Si1 Ni1 W1'
_space_group_name_H-M_alt 'P 4/m m m'
_space_group_IT_number 123
_space_group_name_Hall '-P 4 2'
_cell_length_a 4.955
_cell_length_b 4.955
_cell_length_c 4.375
_cell_angle_alpha 90.00
_cell_angle_beta 90.00
_cell_angle_gamma 90.00
loop_
_atom_site_label
_atom_site_fract_x
_atom_site_fract_y
_atom_site_fract_z
Na1 0.000 0.500 0.000
Si1 0.000 0.000 0.500
Ni1 0.000 0.000 0.000
W1 0.500 0.500 0.500
```

---

Material: NaYSi2Ni
Method: DFT, PBE-GGA
State: optimized geometry

The structure in CIF format:
```
data_NaYSi2Ni
_chemical_formula_sum 'Na1 Y1 Si2 Ni1'
_space_group_name_H-M_alt 'P 4/m m m'
_space_group_IT_number 123
_space_group_name_Hall '-P 4 2'
_cell_length_a 5.414
_cell_length_b 5.414
_cell_length_c 4.906
_cell_angle_alpha 90.00
_cell_angle_beta 90.00
_cell_angle_gamma 90.00
loop_
_atom_site_label
_atom_site_fract_x
_atom_site_fract_y
_atom_site_fract_z
Na1 0.000 0.000 0.000
Y1 0.500 0.500 0.500
Si1 0.000 0.500 0.500
Ni1 0.500 0.500 0.000
```

---

Material: NaZrSi2Ni
Method: DFT, PBE-GGA
State: optimized geometry

The structure in CIF format:
```
data_NaZrSi2Ni
_chemical_formula_sum 'Na1 Zr1 Si2 Ni1'
_space_group_name_H-M_alt 'P 4/m m m'
_space_group_IT_number 123
_space_group_name_Hall '-P 4 2'
_cell_length_a 4.409
_cell_length_b 4.409
_cell_length_c 4.533
_cell_angle_alpha 90.00
_cell_angle_beta 90.00
_cell_angle_gamma 90.00
loop_
_atom_site_label
_atom_site_fract_x
_atom_site_fract_y
_atom_site_fract_z
Na1 0.000 0.000 0.000
Zr1 0.500 0.500 0.000
Si1 0.000 0.500 0.500
Ni1 0.000 0.000 0.500
```

---

Calculated density across the listed records, respectively: 5.0, 2.9, 4.4, 3.1, 4.7, 4.9, 2.6, 4.3 Mg/m³.
M_tot across the listed records, respectively: 0.00, 0.00, 0.00, 0.00, 0.00, 4.29, 0.00, 0.00 μB per formula unit.
Formation energy (no corrections) across the listed records, respectively: -0.255, -0.042, 0.234, -0.156, 0.124, 1.320, 0.912, 0.284 eV/atom.